Material: NdScPt2
Method: DFT, PBE
State: optimized geometry

Unit cell a=5.4608 b=5.4608 c=5.4608 alpha=49.79 beta=49.79 gamma=49.79
Element x y z (fractional)
Nd 0.0000 0.0000 0.0000
Sc 0.5000 0.5000 0.5000
Pt 0.2184 0.2184 0.2184
Pt 0.7816 0.7816 0.7816

Output
- Energy above the most stable polymorph in this dataset: 28 meV/atom

Material: DyThMgCd
Method: DFT, PBE
State: optimized geometry

Unit cell a=5.3787 b=5.3787 c=5.3787 alpha=60.00 beta=60.00 gamma=60.00
Element x y z (fractional)
Dy 0.0000 0.0000 0.0000
Th 0.5000 0.5000 0.5000
Mg 0.7500 0.7500 0.7500
Cd 0.2500 0.2500 0.2500

Output
- Total DFT energy (no corrections): -14.834 eV per formula unit

Material: Ca5Tl6Ag
Method: DFT, PBE
State: optimized geometry

Unit cell a=9.3747 b=9.3747 c=5.4040 alpha=106.68 beta=106.68 gamma=119.92
Element x y z (fractional)
Ca 0.0000 0.0000 0.0000
Ca 0.1651 0.8349 0.5000
Ca 0.3304 0.6696 0.0000
Ca 0.6696 0.3304 0.0000
Ca 0.8349 0.1651 0.5000
Tl 0.1037 0.4243 0.2628
Tl 0.2702 0.2702 0.7731
Tl 0.4243 0.1037 0.2628
Tl 0.5757 0.8963 0.7372
Tl 0.7298 0.7298 0.2269
Tl 0.8963 0.5757 0.7372
Ag 0.5000 0.5000 0.5000

Output
- Total DFT energy (no corrections): -31.114 eV per formula unit

Material: MoAsAu2
Method: DFT, PBE
State: optimized geometry

Unit cell a=5.1195 b=5.1195 c=2.7645 alpha=90.00 beta=90.00 gamma=90.00
Element x y z (fractional)
Mo 0.0000 0.0000 0.0000
As 0.5000 0.5000 0.0000
Au 0.0000 0.5000 0.5000
Au 0.5000 0.0000 0.5000

Output
- Total DFT energy (no corrections): -20.142 eV per formula unit